Record 1
Below is an optimized crystal structure of ZnAgPd5, with properties calculated at the GGA-PBE level.

Size of the total moment: 0.00 μB per formula unit
Space-group type: C2/c
Theoretical density: 10426 kg/m³
ΔH_f (0 K): -8 kJ per mole of atoms

abc: 9.928 9.928 9.811
angles: 29.05 29.05 43.65
Positions (direct):
Pd 0.915 0.085 0.250
Pd 0.538 0.226 0.186
Pd 0.441 0.981 0.933
Pd 0.559 0.019 0.067
Pd 0.226 0.538 0.686
Pd 0.981 0.441 0.433
Pd 0.085 0.915 0.750
Pd 0.774 0.462 0.314
Pd 0.462 0.774 0.814
Pd 0.019 0.559 0.567
Zn 0.000 0.000 0.500
Zn 0.000 0.000 0.000
Ag 0.551 0.449 0.250
Ag 0.449 0.551 0.750


Record 2
Below is an optimized crystal structure of Zn6Ag2Pd, with properties calculated at the GGA-PBE level.

Size of the total moment: 0.00 μB per formula unit
Space-group type: P-62m
Theoretical density: 8412 kg/m³
ΔH_f (0 K): -11 kJ per mole of atoms

abc: 2.827 7.590 7.590
angles: 119.97 90.00 90.00
Positions (direct):
Zn 0.500 0.358 0.358
Zn 0.000 0.706 0.706
Zn 0.000 0.294 0.000
Zn 0.000 0.000 0.294
Zn 0.500 0.642 0.000
Zn 0.500 0.000 0.642
Ag 0.000 0.334 0.667
Ag 0.000 0.667 0.334
Pd 0.500 0.000 0.000


Record 3
Below is an optimized crystal structure of Zn4Ag3Pd2, with properties calculated at the GGA-PBE level.

Size of the total moment: 0.00 μB per formula unit
Space-group type: P-1
Theoretical density: 9443 kg/m³
ΔH_f (0 K): -23 kJ per mole of atoms

abc: 4.063 4.655 8.417
angles: 79.27 89.75 64.24
Positions (direct):
Zn 0.667 0.667 0.890
Zn 0.003 0.992 0.330
Zn 0.333 0.333 0.110
Zn 0.997 0.008 0.670
Ag 0.667 0.667 0.568
Ag 0.000 0.000 0.000
Ag 0.333 0.333 0.432
Pd 0.664 0.671 0.211
Pd 0.336 0.329 0.789


Record 4
Below is an optimized crystal structure of ZnAg2Pd8, with properties calculated at the GGA-PBE level.

Size of the total moment: 0.00 μB per formula unit
Space-group type: Cmmm
Theoretical density: 10285 kg/m³
ΔH_f (0 K): 6 kJ per mole of atoms

abc: 4.303 6.640 6.640
angles: 105.44 90.03 90.03
Positions (direct):
Pd 0.500 0.677 0.677
Pd 0.000 0.703 0.962
Pd 0.000 0.297 0.038
Pd 0.500 0.323 0.323
Pd 0.000 0.962 0.703
Pd 0.000 0.038 0.297
Pd 0.500 0.235 0.765
Pd 0.500 0.765 0.235
Zn 0.500 0.000 0.000
Ag 0.000 0.624 0.376
Ag 0.000 0.376 0.624


Record 5
Below is an optimized crystal structure of ZnAgPd, with properties calculated at the GGA-PBE level.

Size of the total moment: 0.00 μB per formula unit
Space-group type: P3m1
Theoretical density: 9779 kg/m³
ΔH_f (0 K): -21 kJ per mole of atoms

abc: 2.846 4.389 4.389
angles: 120.00 90.00 90.00
Positions (direct):
Pd 0.397 0.333 0.667
Ag 0.966 0.000 0.000
Zn 0.637 0.667 0.333


Record 6
Below is an optimized crystal structure of Zn8Ag3Pd2, with properties calculated at the GGA-PBE level.

Size of the total moment: 0.00 μB per formula unit
Space-group type: R-3m
Theoretical density: 8334 kg/m³
ΔH_f (0 K): -8 kJ per mole of atoms

abc: 4.997 4.997 10.180
angles: 75.79 75.79 60.00
Positions (direct):
Zn 0.229 0.732 0.308
Zn 0.278 0.278 0.165
Zn 0.732 0.229 0.308
Zn 0.268 0.771 0.692
Zn 0.771 0.268 0.692
Zn 0.268 0.268 0.692
Zn 0.732 0.732 0.308
Zn 0.722 0.722 0.835
Pd 0.362 0.362 0.913
Pd 0.638 0.638 0.087
Ag 0.183 0.183 0.451
Ag 0.000 0.000 0.000
Ag 0.817 0.817 0.549


> size of the total moment of number 4 (ZnAg2Pd8)?

0.00 μB per formula unit